## BaNiF2 (GGA+U)

Data for a relaxed structure of BaNiF2.

Cell lengths 5.034, 5.034, 14.410 Å; angles 90.00, 90.00, 90.00 degrees
Space group I-42d (No. 122)
Asymmetric unit:
Ba: 0.000 0.000 0.000 [4 per cell]
Ni: 0.000 0.000 0.500 [4 per cell]
F: 0.238 0.250 0.625 [8 per cell]

Output
Polymorph energy (0 for the lowest one): 0.000 eV/atom
Volume: 365.2 Å³ per cell
Magnetization: 4.39 μB per cell